CsMnW2C: relaxed, PBE-GGA.

Computed properties:
For the density of states at the Fermi level, the calculation gives 5.85 states/eV/f.u. Its symmetry is No. 123. The calculation puts the total energy at -33.8 eV for the cell shown.

Lattice parameters (Å, degrees): 4.821 4.821 3.750 90.00 90.00 90.00
Fractional positions:
Cs 0.000 0.000 0.000
Mn 0.500 0.500 0.500
W 0.000 0.500 0.500
W 0.500 0.000 0.500
C 0.500 0.500 0.000



CsMo3C: relaxed, PBE-GGA.

Computed properties:
Its energy relative to the lowest polymorph listed for this composition is 0.00 eV per formula unit. For the density of states at the Fermi level, the calculation gives 7.78 states/eV/f.u. Its symmetry is No. 221. The calculation puts the total energy at -35.0 eV for the cell shown.

Lattice parameters (Å, degrees): 4.369 4.369 4.369 90.00 90.00 90.00
Fractional positions:
Cs 0.000 0.000 0.000
Mo 0.000 0.500 0.500
Mo 0.500 0.000 0.500
Mo 0.500 0.500 0.000
C 0.500 0.500 0.500



CsMo3C: relaxed, PBE-GGA.

Computed properties:
Its energy relative to the lowest polymorph listed for this composition is 14.93 eV per formula unit. For the density of states at the Fermi level, the calculation gives 6.48 states/eV/f.u. Its symmetry is No. 221. The calculation puts the total energy at -20.1 eV for the cell shown.

Lattice parameters (Å, degrees): 4.891 4.891 4.891 90.00 90.00 90.00
Fractional positions:
Cs 0.000 0.000 0.000
Mo 0.000 0.000 0.500
Mo 0.000 0.500 0.000
Mo 0.500 0.000 0.000
C 0.500 0.500 0.500



Computed energy of formation (eV per atom) in order:
2.2702 1.5058 4.4921